--- P ---
# Na3Mg2Hg4

A geometry-optimized Na3Mg2Hg4 structure (PBE-GGA, the Alexandria database).

Computed properties:
The value obtained for the total magnetization is 0.00 Bohr magnetons per cell. Its space group is No. 12.

Lattice parameters (Å, degrees): 5.1956 5.1559 9.7574 96.43 90.00 120.25
With the nearest neighbours (Å) after each atom.
Fractional coordinates of all 9 atoms:
Hg1 0.3144 0.6287 0.8980  1 Mg 2.95, 7 Na 3.09-3.26
Hg2 0.9515 0.9030 0.6528  4 Mg 2.97-3.09, 3 Na 3.18-3.20, 1 Hg 3.21
Hg3 0.0485 0.0970 0.3472  4 Mg 2.97-3.09, 3 Na 3.18-3.20, 1 Hg 3.21
Hg4 0.6856 0.3713 0.1020  1 Mg 2.95, 7 Na 3.09-3.26
Mg1 0.2835 0.5670 0.5934  5 Hg 2.95-3.09, 2 Mg 3.18
Mg2 0.7165 0.4330 0.4066  5 Hg 2.95-3.09, 2 Mg 3.18
Na1 0.3650 0.7300 0.2303  7 Hg 3.18-3.26, 3 Mg 3.37-3.47
Na2 0.0000 0.0000 0.0000  8 Hg 3.09-3.36
Na3 0.6350 0.2700 0.7697  7 Hg 3.18-3.26, 3 Mg 3.37-3.47

***

--- Q ---
# Na3Mg2Hg4

A geometry-optimized Na3Mg2Hg4 structure (PBE-GGA, the Alexandria database).

Computed properties:
The value obtained for the total magnetization is 0.00 Bohr magnetons per cell. Its space group is No. 12.

Lattice parameters (Å, degrees): 5.0601 6.1857 9.4002 122.07 90.00 114.14
With the nearest neighbours (Å) after each atom.
Fractional coordinates of all 9 atoms:
Hg1 0.0604 0.1207 0.3874  3 Mg 2.90-3.02, 1 Hg 3.11
Hg2 0.7074 0.4148 0.0523  2 Mg 2.92-3.25, 2 Hg 3.06, 3 Na 3.23-3.27
Hg3 0.2926 0.5852 0.9477  2 Mg 2.92-3.25, 2 Hg 3.06, 3 Na 3.23-3.27
Hg4 0.9396 0.8793 0.6126  3 Mg 2.90-3.02, 1 Hg 3.11
Mg1 0.6263 0.2527 0.2964  5 Hg 2.90-3.25
Mg2 0.3737 0.7473 0.7036  5 Hg 2.90-3.25
Na1 0.6589 0.3177 0.6775  2 Na 3.17-3.23, 7 Hg 3.23-3.40, 4 Mg 3.37-3.41
Na2 0.0000 0.0000 0.0000  2 Na 3.23, 8 Hg 3.28-3.61, 4 Mg 3.40
Na3 0.3411 0.6823 0.3225  2 Na 3.17-3.23, 7 Hg 3.23-3.40, 4 Mg 3.37-3.41

***

The winner here is Q, beating the second structure by 11 meV/atom.

***

--- P ---
# Na2Mg3Hg4

A geometry-optimized Na2Mg3Hg4 structure (PBE-GGA, the Alexandria database).

Computed properties:
The value obtained for the total magnetization is 0.00 Bohr magnetons per cell. Its space group is No. 64.

Lattice parameters (Å, degrees): 6.5209 8.2412 8.9887 90.00 111.27 90.00
With the nearest neighbours (Å) after each atom.
Fractional coordinates of all 18 atoms:
Na1 0.8972 0.4070 0.7944  7 Hg 3.35-3.53, 2 Mg 3.47
Na2 0.6028 0.9070 0.2056  7 Hg 3.35-3.53, 2 Mg 3.47
Na3 0.1028 0.5930 0.2056  7 Hg 3.35-3.53, 2 Mg 3.47
Na4 0.3972 0.0930 0.7944  7 Hg 3.35-3.53, 2 Mg 3.47
Mg1 0.5184 0.7500 0.5369  5 Hg 2.88-2.96
Mg2 0.5000 0.5000 0.0000  6 Hg 2.80-2.98
Mg3 0.4816 0.2500 0.4631  5 Hg 2.88-2.96
Mg4 0.0184 0.7500 0.5369  5 Hg 2.88-2.96
Mg5 0.9816 0.2500 0.4631  5 Hg 2.88-2.96
Mg6 0.0000 0.0000 0.0000  6 Hg 2.80-2.98
Hg1 0.3226 0.4707 0.6452  5 Mg 2.88-2.98
Hg2 0.8077 0.2500 0.1154  3 Mg 2.80-2.91
Hg3 0.8226 0.0293 0.6452  5 Mg 2.88-2.98
Hg4 0.3077 0.2500 0.1154  3 Mg 2.80-2.91
Hg5 0.6923 0.7500 0.8846  3 Mg 2.80-2.91
Hg6 0.6774 0.5293 0.3548  5 Mg 2.88-2.98
Hg7 0.1923 0.7500 0.8846  3 Mg 2.80-2.91
Hg8 0.1774 0.9707 0.3548  5 Mg 2.88-2.98

***

--- Q ---
# Na2Mg3Hg4

A geometry-optimized Na2Mg3Hg4 structure (PBE-GGA, the Alexandria database).

Computed properties:
The value obtained for the total magnetization is 0.00 Bohr magnetons per cell. Its space group is No. 12.

Lattice parameters (Å, degrees): 4.9873 5.0028 9.6994 89.56 89.96 60.12
With the nearest neighbours (Å) after each atom.
Fractional coordinates of all 9 atoms:
Mg1 0.6653 0.6700 0.5816  4 Hg 2.98-3.08, 3 Mg 3.26-3.31
Mg2 0.3347 0.3300 0.4184  4 Hg 2.98-3.08, 3 Mg 3.26-3.31
Mg3 0.0000 0.0000 0.0000  8 Hg 3.04-3.28
Hg1 0.6655 0.6691 0.8993  4 Mg 3.04-3.08, 4 Na 3.11-3.12
Hg2 0.0027 0.9939 0.3385  4 Mg 2.98-3.28, 3 Na 3.10-3.11, 1 Hg 3.13
Hg3 0.3345 0.3309 0.1007  4 Mg 3.04-3.08, 4 Na 3.11-3.12
Hg4 0.9973 0.0061 0.6615  4 Mg 2.98-3.28, 3 Na 3.10-3.11, 1 Hg 3.13
Na1 0.3317 0.3368 0.7793  7 Hg 3.10-3.12, 2 Mg 3.45-3.46
Na2 0.6683 0.6632 0.2207  7 Hg 3.10-3.12, 2 Mg 3.45-3.46

***

The winner here is P, beating the second structure by 7 meV/atom.

***

--- P ---
# NaMgHg3

A geometry-optimized NaMgHg3 structure (PBE-GGA, the Alexandria database).

Computed properties:
The value obtained for the total magnetization is 0.00 Bohr magnetons per cell. Its space group is No. 221.

Lattice parameters (Å, degrees): 5.4533 5.4533 5.4533 90.00 90.00 90.00
With the nearest neighbours (Å) after each atom.
Fractional coordinates of all 5 atoms:
Hg1 0.5000 0.0000 0.0000  2 Mg 2.73
Hg2 0.0000 0.5000 0.0000  2 Mg 2.73
Hg3 0.0000 0.0000 0.5000  2 Mg 2.73
Na1 0.5000 0.5000 0.5000  12 Hg 3.86
Mg1 0.0000 0.0000 0.0000  6 Hg 2.73

***

--- Q ---
# NaMgHg3

A geometry-optimized NaMgHg3 structure (PBE-GGA, the Alexandria database).

Computed properties:
The value obtained for the total magnetization is 0.00 Bohr magnetons per cell. Its space group is No. 107.

Lattice parameters (Å, degrees): 4.5507 4.5507 7.3371 108.07 108.07 90.00
With the nearest neighbours (Å) after each atom.
Fractional coordinates of all 5 atoms:
Mg1 0.6345 0.6345 0.2690  5 Hg 2.71-2.87
Hg1 0.2670 0.7670 0.5340  2 Mg 2.87, 2 Hg 3.12
Hg2 0.7670 0.2670 0.5340  2 Mg 2.87, 2 Hg 3.12
Hg3 0.4292 0.4292 0.8585  1 Mg 2.71
Na1 0.9925 0.9925 0.9850  4 Hg 3.32, 4 Mg 3.72

***

--- R ---
# NaMgHg3

A geometry-optimized NaMgHg3 structure (PBE-GGA, the Alexandria database).

Computed properties:
The value obtained for the total magnetization is 0.00 Bohr magnetons per cell. Its space group is No. 63.

Lattice parameters (Å, degrees): 3.3883 4.8458 14.8089 90.00 96.57 90.00
With the nearest neighbours (Å) after each atom.
Fractional coordinates of all 10 atoms:
Mg1 0.7863 0.2500 0.5726  7 Hg 2.85-3.05
Mg2 0.2137 0.7500 0.4274  7 Hg 2.85-3.05
Na1 0.0787 0.2500 0.1573  12 Hg 3.29-3.67, 2 Na 3.39
Na2 0.9213 0.7500 0.8427  12 Hg 3.29-3.67, 2 Na 3.39
Hg1 0.3106 0.7500 0.6212  5 Mg 2.85-3.04, 2 Hg 3.03
Hg2 0.4724 0.2500 0.9448  3 Hg 2.92-2.94
Hg3 0.6275 0.7500 0.2551  3 Hg 2.94-3.03, 2 Mg 3.05, 4 Na 3.29
Hg4 0.3725 0.2500 0.7449  3 Hg 2.94-3.03, 2 Mg 3.05, 4 Na 3.29
Hg5 0.5276 0.7500 0.0552  3 Hg 2.92-2.94
Hg6 0.6894 0.2500 0.3788  5 Mg 2.85-3.04, 2 Hg 3.03

***

The winner here is R, beating the second structure by 104 meV/atom.

***

--- P ---
# NaMg2Hg7

A geometry-optimized NaMg2Hg7 structure (PBE-GGA, the Alexandria database).

Computed properties:
The value obtained for the total magnetization is 0.00 Bohr magnetons per cell. Its space group is No. 65.

Lattice parameters (Å, degrees): 3.2294 5.7713 13.6390 102.21 90.00 90.00
With the nearest neighbours (Å) after each atom.
Fractional coordinates of all 10 atoms:
Mg1 0.5000 0.7011 0.4023  4 Hg 2.95-3.00, 2 Mg 3.23
Mg2 0.5000 0.2989 0.5977  4 Hg 2.95-3.00, 2 Mg 3.23
Hg1 0.0000 0.2062 0.4123  2 Mg 2.95, 2 Hg 3.23
Hg2 0.0000 0.7938 0.5877  2 Mg 2.95, 2 Hg 3.23
Hg3 0.5000 0.1449 0.7945  3 Hg 2.86-3.10, 1 Mg 3.00
Hg4 0.5000 0.8551 0.2055  3 Hg 2.86-3.10, 1 Mg 3.00
Hg5 0.5000 0.3504 0.2055  3 Hg 2.86-3.10, 1 Mg 3.00
Hg6 0.5000 0.6496 0.7945  3 Hg 2.86-3.10, 1 Mg 3.00
Hg7 0.5000 0.5000 0.0000  6 Hg 3.10-3.23, 4 Na 3.31
Na1 0.0000 0.0000 0.0000  2 Na 3.23, 12 Hg 3.31-3.49

***

--- Q ---
# NaMg2Hg7

A geometry-optimized NaMg2Hg7 structure (PBE-GGA, the Alexandria database).

Computed properties:
The value obtained for the total magnetization is 0.00 Bohr magnetons per cell. Its space group is No. 65.

Lattice parameters (Å, degrees): 4.8636 8.5468 8.5468 122.58 90.00 90.00
With the nearest neighbours (Å) after each atom.
Fractional coordinates of all 10 atoms:
Hg1 0.0000 0.2123 0.7877  2 Mg 2.80
Hg2 0.0000 0.7877 0.2123  2 Mg 2.80
Hg3 0.5000 0.0710 0.3007  1 Mg 2.85, 2 Hg 3.05-3.10
Hg4 0.5000 0.6993 0.9290  1 Mg 2.85, 2 Hg 3.05-3.10
Hg5 0.5000 0.9290 0.6993  1 Mg 2.85, 2 Hg 3.05-3.10
Hg6 0.5000 0.5000 0.5000  2 Mg 2.92, 4 Hg 3.10
Hg7 0.5000 0.3007 0.0710  1 Mg 2.85, 2 Hg 3.05-3.10
Mg1 0.5000 0.3049 0.6951  5 Hg 2.80-2.92
Mg2 0.5000 0.6951 0.3049  5 Hg 2.80-2.92
Na1 0.0000 0.0000 0.0000  10 Hg 3.18-3.35

***

The winner here is P, beating the second structure by 64 meV/atom.

***

--- P ---
# Na12MgHg6

A geometry-optimized Na12MgHg6 structure (PBE-GGA, the Alexandria database).

Computed properties:
The value obtained for the total magnetization is 0.00 Bohr magnetons per cell. Its space group is No. 148.

Lattice parameters (Å, degrees): 8.1184 8.1184 8.1184 87.56 87.56 87.56
With the nearest neighbours (Å) after each atom.
Fractional coordinates of all 19 atoms:
Hg1 0.2661 0.1143 0.7443  1 Mg 3.08, 6 Na 3.20-3.43, 2 Hg 3.25
Hg2 0.2557 0.7339 0.8857  1 Mg 3.08, 6 Na 3.20-3.43, 2 Hg 3.25
Hg3 0.1143 0.7443 0.2661  1 Mg 3.08, 6 Na 3.20-3.43, 2 Hg 3.25
Hg4 0.7443 0.2661 0.1143  1 Mg 3.08, 6 Na 3.20-3.43, 2 Hg 3.25
Hg5 0.8857 0.2557 0.7339  1 Mg 3.08, 6 Na 3.20-3.43, 2 Hg 3.25
Hg6 0.7339 0.8857 0.2557  1 Mg 3.08, 6 Na 3.20-3.43, 2 Hg 3.25
Na1 0.6207 0.9710 0.8497  4 Na 3.10-3.46, 2 Hg 3.20-3.31, 1 Mg 3.38
Na2 0.1503 0.3793 0.0290  4 Na 3.10-3.46, 2 Hg 3.20-3.31, 1 Mg 3.38
Na3 0.4237 0.8081 0.5286  4 Hg 3.20-3.43, 5 Na 3.38-3.51
Na4 0.3793 0.0290 0.1503  4 Na 3.10-3.46, 2 Hg 3.20-3.31, 1 Mg 3.38
Na5 0.0290 0.1503 0.3793  4 Na 3.10-3.46, 2 Hg 3.20-3.31, 1 Mg 3.38
Na6 0.5763 0.1919 0.4714  4 Hg 3.20-3.43, 5 Na 3.38-3.51
Na7 0.8081 0.5286 0.4237  4 Hg 3.20-3.43, 5 Na 3.38-3.51
Na8 0.1919 0.4714 0.5763  4 Hg 3.20-3.43, 5 Na 3.38-3.51
Na9 0.9710 0.8497 0.6207  4 Na 3.10-3.46, 2 Hg 3.20-3.31, 1 Mg 3.38
Na10 0.5286 0.4237 0.8081  4 Hg 3.20-3.43, 5 Na 3.38-3.51
Na11 0.8497 0.6207 0.9710  4 Na 3.10-3.46, 2 Hg 3.20-3.31, 1 Mg 3.38
Na12 0.4714 0.5763 0.1919  4 Hg 3.20-3.43, 5 Na 3.38-3.51
Mg1 0.0000 0.0000 0.0000  6 Hg 3.08, 6 Na 3.38

***

--- Q ---
# Na12MgHg6

A geometry-optimized Na12MgHg6 structure (PBE-GGA, the Alexandria database).

Computed properties:
The value obtained for the total magnetization is 0.00 Bohr magnetons per cell. Its space group is No. 148.

Lattice parameters (Å, degrees): 9.0305 9.0305 9.0305 111.09 111.09 111.09
With the nearest neighbours (Å) after each atom.
Fractional coordinates of all 19 atoms:
Hg1 0.4289 0.6537 0.9532  9 Na 3.27-3.51, 2 Hg 3.36
Hg2 0.9532 0.4289 0.6537  9 Na 3.27-3.51, 2 Hg 3.36
Hg3 0.6537 0.9532 0.4289  9 Na 3.27-3.51, 2 Hg 3.36
Hg4 0.3463 0.0468 0.5711  9 Na 3.27-3.51, 2 Hg 3.36
Hg5 0.0468 0.5711 0.3463  9 Na 3.27-3.51, 2 Hg 3.36
Hg6 0.5711 0.3463 0.0468  9 Na 3.27-3.51, 2 Hg 3.36
Na1 0.1211 0.1802 0.7432  5 Na 3.26-3.54, 5 Hg 3.27-3.38, 1 Mg 3.53
Na2 0.1802 0.7432 0.1211  5 Na 3.26-3.54, 5 Hg 3.27-3.38, 1 Mg 3.53
Na3 0.4813 0.2021 0.3346  6 Na 3.26-3.60, 4 Hg 3.29-3.51, 1 Mg 3.50
Na4 0.8789 0.8198 0.2568  5 Na 3.26-3.54, 5 Hg 3.27-3.38, 1 Mg 3.53
Na5 0.3346 0.4813 0.2021  6 Na 3.26-3.60, 4 Hg 3.29-3.51, 1 Mg 3.50
Na6 0.8198 0.2568 0.8789  5 Na 3.26-3.54, 5 Hg 3.27-3.38, 1 Mg 3.53
Na7 0.2568 0.8789 0.8198  5 Na 3.26-3.54, 5 Hg 3.27-3.38, 1 Mg 3.53
Na8 0.7432 0.1211 0.1802  5 Na 3.26-3.54, 5 Hg 3.27-3.38, 1 Mg 3.53
Na9 0.6654 0.5187 0.7979  6 Na 3.26-3.60, 4 Hg 3.29-3.51, 1 Mg 3.50
Na10 0.7979 0.6654 0.5187  6 Na 3.26-3.60, 4 Hg 3.29-3.51, 1 Mg 3.50
Na11 0.5187 0.7979 0.6654  6 Na 3.26-3.60, 4 Hg 3.29-3.51, 1 Mg 3.50
Na12 0.2021 0.3346 0.4813  6 Na 3.26-3.60, 4 Hg 3.29-3.51, 1 Mg 3.50
Mg1 0.0000 0.0000 0.0000  12 Na 3.50-3.53

***

The winner here is P, beating the second structure by 28 meV/atom.

***

--- P ---
# NaMgTlHg

A geometry-optimized NaMgTlHg structure (PBE-GGA, the Alexandria database).

Computed properties:
The value obtained for the total magnetization is 0.00 Bohr magnetons per cell. Its space group is No. 99.

Lattice parameters (Å, degrees): 3.4751 3.4751 8.3004 90.00 90.00 90.00
With the nearest neighbours (Å) after each atom.
Fractional coordinates of all 4 atoms:
Tl1 0.5000 0.5000 0.8080  4 Mg 3.27, 4 Na 3.40, 4 Tl 3.48
Na1 0.0000 0.0000 0.0903  4 Hg 3.20, 4 Tl 3.40, 4 Na 3.48
Hg1 0.5000 0.5000 0.3382  4 Mg 3.01, 4 Na 3.20
Mg1 0.0000 0.0000 0.5482  4 Hg 3.01, 4 Tl 3.27

***

--- Q ---
# NaMgTlHg

A geometry-optimized NaMgTlHg structure (PBE-GGA, the Alexandria database).

Computed properties:
The value obtained for the total magnetization is 0.00 Bohr magnetons per cell. Its space group is No. 216.

Lattice parameters (Å, degrees): 5.1656 5.1656 5.1656 60.00 60.00 60.00
With the nearest neighbours (Å) after each atom.
Fractional coordinates of all 4 atoms:
Mg1 0.5000 0.5000 0.5000  4 Hg 3.16, 4 Tl 3.16
Na1 0.0000 0.0000 0.0000  4 Tl 3.16, 4 Hg 3.16
Hg1 0.7500 0.7500 0.7500  4 Mg 3.16, 4 Na 3.16
Tl1 0.2500 0.2500 0.2500  4 Na 3.16, 4 Mg 3.16

***

The winner here is P, beating the second structure by 22 meV/atom.

***

--- P ---
# MgNb3Hg

A geometry-optimized MgNb3Hg structure (PBE-GGA, the Alexandria database).

Computed properties:
The value obtained for the total magnetization is 0.00 Bohr magnetons per cell. Its space group is No. 221.

Lattice parameters (Å, degrees): 4.7612 4.7612 4.7612 90.00 90.00 90.00
With the nearest neighbours (Å) after each atom.
Fractional coordinates of all 5 atoms:
Nb1 0.5000 0.0000 0.0000  2 Mg 2.38
Nb2 0.0000 0.5000 0.0000  2 Mg 2.38
Nb3 0.0000 0.0000 0.5000  2 Mg 2.38
Hg1 0.5000 0.5000 0.5000  12 Nb 3.37
Mg1 0.0000 0.0000 0.0000  6 Nb 2.38

***

--- Q ---
# MgNb3Hg

A geometry-optimized MgNb3Hg structure (PBE-GGA, the Alexandria database).

Computed properties:
The value obtained for the total magnetization is 0.95 Bohr magnetons per cell. Its space group is No. 221.

Lattice parameters (Å, degrees): 5.0921 5.0921 5.0921 90.00 90.00 90.00
With the nearest neighbours (Å) after each atom.
Fractional coordinates of all 5 atoms:
Hg1 0.0000 0.0000 0.0000  6 Nb 2.55
Nb1 0.0000 0.5000 0.0000  2 Hg 2.55
Nb2 0.5000 0.0000 0.0000  2 Hg 2.55
Nb3 0.0000 0.0000 0.5000  2 Hg 2.55
Mg1 0.5000 0.5000 0.5000  12 Nb 3.60

***

The winner here is P, beating the second structure by 197 meV/atom.

***

--- P ---
# Mg3NbHg

A geometry-optimized Mg3NbHg structure (PBE-GGA, the Alexandria database).

Computed properties:
The value obtained for the total magnetization is 4.43 Bohr magnetons per cell. Its space group is No. 221.

Lattice parameters (Å, degrees): 5.5817 5.5817 5.5817 90.00 90.00 90.00
With the nearest neighbours (Å) after each atom.
Fractional coordinates of all 5 atoms:
Mg1 0.5000 0.0000 0.0000  2 Nb 2.79
Mg2 0.0000 0.5000 0.0000  2 Nb 2.79
Mg3 0.0000 0.0000 0.5000  2 Nb 2.79
Nb1 0.0000 0.0000 0.0000  6 Mg 2.79
Hg1 0.5000 0.5000 0.5000  12 Mg 3.95

***

--- Q ---
# Mg3NbHg

A geometry-optimized Mg3NbHg structure (PBE-GGA, the Alexandria database).

Computed properties:
The value obtained for the total magnetization is 3.65 Bohr magnetons per cell. Its space group is No. 221.

Lattice parameters (Å, degrees): 5.1172 5.1172 5.1172 90.00 90.00 90.00
With the nearest neighbours (Å) after each atom.
Fractional coordinates of all 5 atoms:
Mg1 0.0000 0.5000 0.0000  2 Hg 2.56
Mg2 0.5000 0.0000 0.0000  2 Hg 2.56
Mg3 0.0000 0.0000 0.5000  2 Hg 2.56
Nb1 0.5000 0.5000 0.5000  12 Mg 3.62
Hg1 0.0000 0.0000 0.0000  6 Mg 2.56

***

The winner here is Q, beating the second structure by 198 meV/atom.